No. 1
PbBrCl6 | the Alexandria database | PBE | relaxed; E_form (uncorrected) = -2.327 eV per formula unit; theoretical density = 2.9 Mg/m³
1.0
6.2962 0.0000 0.0000
1.3014 6.9593 0.0000
2.4524 2.6068 6.4873
Pb Br Cl
1 1 6
direct
0.0000 0.0000 0.0000
0.5000 0.5000 0.0000
0.1138 0.2162 0.1549
0.2443 0.6615 0.2186
0.3251 0.0975 0.6892
0.6749 0.9025 0.3108
0.7557 0.3385 0.7814
0.8862 0.7838 0.8451

No. 2
Na2Ti2Br | the Alexandria database | PBE | relaxed; relative energy among the computed polymorphs = 0.0000 eV/atom; E_form (uncorrected) = 1.541 eV per formula unit; theoretical density = 2.9 Mg/m³
1.0
6.5355 0.0000 0.0000
0.0000 6.5355 0.0000
0.0000 0.0000 5.8552
Na Ti Br
4 4 2
direct
0.1646 0.3354 0.0000
0.3354 0.8354 0.0000
0.6646 0.1646 0.0000
0.8354 0.6646 0.0000
0.1435 0.6435 0.5000
0.3565 0.1435 0.5000
0.6435 0.8565 0.5000
0.8565 0.3565 0.5000
0.0000 0.0000 0.5000
0.5000 0.5000 0.5000

No. 3
UCu2Se3 | the Alexandria database | PBE | relaxed; E_form (uncorrected) = -3.623 eV per formula unit; theoretical density = 7.0 Mg/m³
1.0
7.2526 0.0000 0.0000
0.0000 4.0382 0.0000
-2.8205 0.0000 9.7523
U Cu Se
2 4 6
direct
0.1540 0.2500 0.1831
0.8460 0.7500 0.8169
0.1833 0.2500 0.8734
0.4090 0.7500 0.4164
0.5910 0.2500 0.5836
0.8167 0.7500 0.1266
0.0497 0.7500 0.3446
0.2523 0.7500 0.0035
0.4677 0.7500 0.6706
0.5323 0.2500 0.3294
0.7477 0.2500 0.9965
0.9503 0.2500 0.6554